The following is a PBE+U calculation of a geometry-optimized FeSn3F structure, from Alexandria.

Results
Total moment = 1.93 μB/cell
Volume = 128.7 Å³/cell
Final energy = -3.81 eV per atom

Lattice parameters (Å, degrees): 5.049 5.049 5.049 90.00 90.00 90.00
Space group Pm-3m (No. 221)
Inequivalent atoms, fractional coordinates:
Fe: 0.000 0.000 0.000 [1 per cell]
Sn: 0.000 0.000 0.500 [3 per cell]
F: 0.500 0.500 0.500 [1 per cell]